# SnAsPS2, PBEsol geometry, DFT meta-GGA SCAN
data_SnAsPS2
_chemical_formula_sum 'Sn1 As1 P1 S2'
_cell_length_a 4.829
_cell_length_b 4.829
_cell_length_c 5.012
_cell_angle_alpha 90.00
_cell_angle_beta 90.00
_cell_angle_gamma 90.00
_space_group_name_H-M_alt 'P 4/m m m'
_space_group_IT_number 123
_space_group_name_Hall '-P 4 2'
loop_
_atom_site_label
_atom_site_type_symbol
_atom_site_fract_x
_atom_site_fract_y
_atom_site_fract_z
Sn1 Sn 0.000 0.000 0.000
As1 As 0.500 0.500 0.500
P1 P 0.000 0.000 0.500
S1 S 0.000 0.500 0.000
# * Fermi-level density of states: 0.92 states/eV/atom
# * calculated total energy: -16.164 eV per atom

---

# SnAsP2S, PBEsol geometry, DFT meta-GGA SCAN
data_SnAsP2S
_chemical_formula_sum 'Sn1 As1 P2 S1'
_cell_length_a 4.722
_cell_length_b 4.722
_cell_length_c 4.656
_cell_angle_alpha 90.00
_cell_angle_beta 90.00
_cell_angle_gamma 90.00
_space_group_name_H-M_alt 'P 4/m m m'
_space_group_IT_number 123
_space_group_name_Hall '-P 4 2'
loop_
_atom_site_label
_atom_site_type_symbol
_atom_site_fract_x
_atom_site_fract_y
_atom_site_fract_z
Sn1 Sn 0.000 0.000 0.000
As1 As 0.500 0.500 0.500
P1 P 0.000 0.500 0.500
S1 S 0.500 0.500 0.000
# * Fermi-level density of states: 0.69 states/eV/atom
# * calculated total energy: -16.585 eV per atom

---

no.,uncorrected formation energy (kJ/mol of formula units)
1,477.4
2,348.5